# YTc2Pt PBEsol relaxed
# E: -9.2490 eV per atom
# Formation energy from the elements: -16.3 kJ/mol of atoms
data_YTc2Pt
_chemical_formula_sum 'Y1 Tc2 Pt1'
_space_group_name_H-M_alt 'P 1'
_space_group_IT_number 1
_space_group_name_Hall 'P 1'
_cell_length_a 3.001
_cell_length_b 3.001
_cell_length_c 7.531
_cell_angle_alpha 90.00
_cell_angle_beta 90.00
_cell_angle_gamma 90.00
loop_
_atom_site_label
_atom_site_type_symbol
_atom_site_fract_x
_atom_site_fract_y
_atom_site_fract_z
_atom_site_occupancy
Pt1 Pt 0.500 0.500 0.775 1
Tc1 Tc 0.000 0.000 0.024 1
Tc2 Tc 0.500 0.500 0.205 1
Y1 Y 0.000 0.000 0.496 1